VASP calculation (PBE) on Sr2NpCuTe5 after structural relaxation.

Summary:
- calculated total energy (eV/f.u.) = -44.65

a b c (Å): 4.420 10.088 13.472
angles (deg): 90.00 90.00 102.65
Site moments in Bohr magnetons follow the coordinates.
Fractional coordinates of all 18 atoms:
Sr (0.886, 0.772, 0.834)  -0.01
Sr (0.118, 0.236, 0.697)  -0.01
Sr (0.114, 0.228, 0.334)  -0.01
Sr (0.882, 0.764, 0.197)  -0.01
Np (0.804, 0.608, 0.520)  3.44
Np (0.196, 0.392, 0.020)  3.44
Cu (0.572, 0.145, 0.929)  -0.07
Cu (0.428, 0.855, 0.429)  -0.07
Te (0.350, 0.701, 0.015)  -0.09
Te (0.698, 0.397, 0.863)  -0.11
Te (0.501, 0.003, 0.766)  -0.03
Te (0.303, 0.606, 0.675)  -0.13
Te (0.955, 0.910, 0.525)  -0.13
Te (0.650, 0.299, 0.515)  -0.09
Te (0.302, 0.603, 0.363)  -0.11
Te (0.499, 0.997, 0.266)  -0.03
Te (0.697, 0.394, 0.175)  -0.13
Te (0.045, 0.090, 0.025)  -0.13